Computed, not measured: crystalline Cs3ZrBi at its relaxed geometry at the PBE level of DFT.

```
data_Cs3ZrBi
_chemical_formula_sum 'Cs3 Zr1 Bi1'
_space_group_name_H-M_alt 'P 1'
_space_group_IT_number 1
_cell_length_a 6.7206
_cell_length_b 6.7206
_cell_length_c 6.7206
_cell_angle_alpha 90.00
_cell_angle_beta 90.00
_cell_angle_gamma 90.00
loop_
_space_group_symop_operation_xyz
'x,y,z'
loop_
_atom_site_label
_atom_site_type_symbol
_atom_site_fract_x
_atom_site_fract_y
_atom_site_fract_z
Cs1 Cs 0.0000 0.0000 0.5000
Cs2 Cs 0.0000 0.5000 0.0000
Cs3 Cs 0.5000 0.0000 0.0000
Zr1 Zr 0.0000 0.0000 0.0000
Bi1 Bi 0.5000 0.5000 0.5000
```

Computed properties:
Energy relative to the elements ... 5.090 eV per formula unit
Energy ... -1.9799 eV/atom
SG ... Pm-3m
Fermi-level density of states ... 3.07 states/eV/atom